[1]
{
  "formula": "Ca2MnP2",
  "functional": "PBE",
  "state": "relaxed",
  "lattice_angstrom": [[-6.227, 2.818, 0.420], [-2.304, -4.386, -4.728], [-1.041, -2.756, 3.064]],
  "species": ["P", "P", "P", "P", "Mn", "Mn", "Ca", "Ca", "Ca", "Ca"],
  "frac_coords": [[0.653, 0.153, 0.000], [0.347, 0.847, 0.000], [0.153, 0.347, 0.000], [0.847, 0.653, 0.000], [0.500, 0.500, 0.000], [0.000, 0.000, 0.000], [0.340, 0.160, 0.500], [0.840, 0.340, 0.500], [0.160, 0.660, 0.500], [0.660, 0.840, 0.500]],
  "polymorph_energy_mev_per_atom": 191,
  "volume_a3_per_atom": 19.9,
  "m_tot_mub_per_cell": 6.2,
  "dft_energy_ev_per_atom": -5.47,
  "e_form_ev_per_atom": -0.6675
}

[2]
{
  "formula": "SrMgP",
  "functional": "PBE",
  "state": "relaxed",
  "lattice_angstrom": [[-3.172, 3.554, -1.533], [-1.620, 0.035, -4.735], [-4.758, -1.165, -1.025]],
  "species": ["Sr", "P", "Mg"],
  "frac_coords": [[0.750, 0.750, 0.750], [0.500, 0.500, 0.500], [0.000, 0.000, 0.000]],
  "polymorph_energy_mev_per_atom": 666,
  "volume_a3_per_atom": 29.5,
  "m_tot_mub_per_cell": 0.0,
  "dft_energy_ev_per_atom": -2.91,
  "e_form_ev_per_atom": -0.0132
}

[3]
{
  "formula": "ZnOs",
  "functional": "PBE",
  "state": "relaxed",
  "lattice_angstrom": [[3.987, 0.000, 0.000], [1.993, 3.453, 0.000], [1.993, 1.151, 3.255]],
  "species": ["Zn", "Os"],
  "frac_coords": [[0.750, 0.750, 0.750], [0.000, 0.000, 0.000]],
  "volume_a3_per_atom": 22.4,
  "m_tot_mub_per_cell": 2.0,
  "dft_energy_ev_per_atom": -4.09,
  "e_form_ev_per_atom": 2.1630
}

[4]
{
  "formula": "NaCuPt2Cl",
  "functional": "PBE",
  "state": "relaxed",
  "lattice_angstrom": [[-0.998, -2.754, 3.585], [4.620, -0.618, 0.811], [-0.003, 3.672, 2.819]],
  "species": ["Pt", "Pt", "Cu", "Na", "Cl"],
  "frac_coords": [[0.000, 0.000, 0.500], [0.500, 0.000, 0.000], [0.500, 0.500, 0.500], [0.000, 0.500, 0.000], [0.000, 0.000, 0.000]],
  "volume_a3_per_atom": 20.3,
  "m_tot_mub_per_cell": 0.0,
  "dft_energy_ev_per_atom": -3.26,
  "e_form_raw_mev_per_atom": 610
}

[5]
{
  "formula": "Zr2Ta2Zn",
  "functional": "PBE",
  "state": "relaxed",
  "lattice_angstrom": [[7.128, 0.000, 0.000], [0.000, 7.128, 0.000], [0.000, 0.000, 4.021]],
  "species": ["Zn", "Zn", "Ta", "Ta", "Ta", "Ta", "Zr", "Zr", "Zr", "Zr"],
  "frac_coords": [[0.000, 0.000, 0.000], [0.500, 0.500, 0.000], [0.632, 0.132, 0.000], [0.868, 0.632, 0.000], [0.132, 0.368, 0.000], [0.368, 0.868, 0.000], [0.830, 0.330, 0.500], [0.170, 0.670, 0.500], [0.330, 0.170, 0.500], [0.670, 0.830, 0.500]],
  "polymorph_energy_mev_per_atom": 0,
  "volume_a3_per_atom": 20.4,
  "m_tot_mub_per_cell": 0.0,
  "dft_energy_ev_per_atom": -8.22,
  "e_form_ev_per_atom": 0.1953
}

[6]
{
  "formula": "BiAsOsSe2",
  "functional": "PBE",
  "state": "relaxed",
  "lattice_angstrom": [[-2.863, -4.331, 1.366], [0.220, -1.745, -5.072], [4.634, -2.707, 1.132]],
  "species": ["Os", "Bi", "Se", "Se", "As"],
  "frac_coords": [[0.500, 0.500, 0.500], [0.000, 0.000, 0.000], [0.500, 0.000, 0.000], [0.000, 0.500, 0.000], [0.000, 0.000, 0.500]],
  "polymorph_energy_mev_per_atom": 1375,
  "volume_a3_per_atom": 31.6,
  "m_tot_mub_per_cell": 3.9,
  "dft_energy_ev_per_atom": -3.48,
  "e_form_raw_mev_per_atom": 1869
}

[7]
{
  "formula": "Ag2SnBS4",
  "functional": "PBE",
  "state": "relaxed",
  "lattice_angstrom": [[-3.439, 3.956, -2.136], [-2.210, 0.854, 5.142], [6.551, 1.365, -0.525]],
  "species": ["S", "S", "S", "S", "B", "Sn", "Ag", "Ag"],
  "frac_coords": [[0.627, 0.644, 0.674], [0.827, 0.425, 0.270], [0.046, 0.029, 0.674], [0.443, 0.845, 0.270], [0.736, 0.736, 0.472], [0.986, 0.486, 0.972], [0.486, 0.986, 0.972], [0.236, 0.236, 0.472]],
  "volume_a3_per_atom": 21.6,
  "m_tot_mub_per_cell": 0.0,
  "dft_energy_ev_per_atom": -4.30,
  "e_form_raw_mev_per_atom": -191
}

[8]
{
  "formula": "BePt2Rh",
  "functional": "PBE",
  "state": "relaxed",
  "lattice_angstrom": [[3.927, 0.000, 0.000], [0.000, 5.271, 0.000], [0.000, 0.000, 5.252]],
  "species": ["Be", "Be", "Rh", "Rh", "Pt", "Pt", "Pt", "Pt"],
  "frac_coords": [[0.000, 0.288, 0.912], [0.000, 0.712, 0.412], [0.500, 0.564, 0.187], [0.500, 0.436, 0.687], [0.500, 0.933, 0.556], [0.000, 0.747, 0.878], [0.000, 0.253, 0.378], [0.500, 0.067, 0.056]],
  "volume_a3_per_atom": 13.6,
  "m_tot_mub_per_cell": 0.0,
  "dft_energy_ev_per_atom": -6.14,
  "e_form_ev_per_atom": -0.3482
}

[9]
{
  "formula": "SrEuTm",
  "functional": "PBE",
  "state": "relaxed",
  "lattice_angstrom": [[3.827, 0.000, 0.000], [-1.914, 3.314, 0.000], [0.000, 0.000, 9.471]],
  "species": ["Tm", "Sr", "Eu"],
  "frac_coords": [[0.667, 0.333, 0.343], [0.000, 0.000, 0.011], [0.333, 0.667, 0.646]],
  "polymorph_energy_mev_per_atom": 7,
  "volume_a3_per_atom": 40.0,
  "m_tot_mub_per_cell": 7.9,
  "dft_energy_ev_per_atom": -5.31,
  "e_form_ev_per_atom": 0.1613
}

[10]
{
  "formula": "NdSm2Ho8",
  "functional": "PBE",
  "state": "relaxed",
  "lattice_angstrom": [[5.264, 0.000, -1.598], [-0.992, 7.344, -3.266], [-0.026, -0.297, 9.381]],
  "species": ["Ho", "Ho", "Ho", "Ho", "Ho", "Ho", "Ho", "Ho", "Sm", "Sm", "Nd"],
  "frac_coords": [[0.838, 0.838, 0.677], [0.361, 0.154, 0.722], [0.000, 0.706, 0.000], [0.162, 0.162, 0.323], [0.000, 0.294, 0.000], [0.639, 0.432, 0.278], [0.639, 0.846, 0.278], [0.361, 0.568, 0.722], [0.800, 0.300, 0.600], [0.200, 0.700, 0.400], [0.500, 0.000, 0.000]],
  "polymorph_energy_mev_per_atom": 0,
  "volume_a3_per_atom": 32.4,
  "m_tot_mub_per_cell": 0.0,
  "dft_energy_ev_per_atom": -4.51,
  "e_form_ev_per_atom": 0.1136
}

[11]
{
  "formula": "TmHgCl6",
  "functional": "PBE",
  "state": "relaxed",
  "lattice_angstrom": [[-1.724, -2.847, 6.069], [-0.898, -7.492, 1.443], [4.619, -3.214, 3.805]],
  "species": ["Cl", "Cl", "Cl", "Cl", "Cl", "Cl", "Tm", "Hg"],
  "frac_coords": [[0.763, 0.104, 0.760], [0.912, 0.550, 0.206], [0.088, 0.450, 0.794], [0.237, 0.896, 0.240], [0.457, 0.731, 0.703], [0.543, 0.269, 0.297], [0.500, 0.500, 0.500], [0.000, 0.000, 0.000]],
  "volume_a3_per_atom": 30.0,
  "m_tot_mub_per_cell": 1.0,
  "dft_energy_ev_per_atom": -3.18,
  "e_form_raw_mev_per_atom": -1201
}

[12]
{
  "formula": "MnTeAu2",
  "functional": "PBE",
  "state": "relaxed",
  "lattice_angstrom": [[6.632, -0.042, -0.026], [5.446, 3.785, -0.026], [5.446, 1.688, 3.388]],
  "species": ["Au", "Au", "Te", "Mn"],
  "frac_coords": [[0.992, 0.992, 0.992], [0.243, 0.243, 0.243], [0.758, 0.758, 0.758], [0.507, 0.507, 0.507]],
  "volume_a3_per_atom": 21.6,
  "m_tot_mub_per_cell": 3.7,
  "dft_energy_ev_per_atom": -4.64,
  "e_form_raw_mev_per_atom": 80
}

[13]
{
  "formula": "La2BAsI",
  "functional": "PBE",
  "state": "relaxed",
  "lattice_angstrom": [[-3.030, -3.144, 3.271], [-1.336, -2.411, -3.556], [4.238, -3.366, 0.690]],
  "species": ["I", "As", "La", "La", "B"],
  "frac_coords": [[0.000, 0.500, 0.000], [0.500, 0.500, 0.500], [0.000, 0.000, 0.500], [0.500, 0.000, 0.000], [0.000, 0.000, 0.000]],
  "volume_a3_per_atom": 26.8,
  "m_tot_mub_per_cell": 0.0,
  "dft_energy_ev_per_atom": -4.79,
  "e_form_raw_mev_per_atom": -244
}

[14]
{
  "formula": "CdHgRh2",
  "functional": "PBE",
  "state": "relaxed",
  "lattice_angstrom": [[-7.408, 4.825, 2.367], [-8.672, 2.157, 1.974], [-7.399, 2.832, 4.581]],
  "species": ["Cd", "Rh", "Rh", "Hg"],
  "frac_coords": [[0.500, 0.500, 0.500], [0.751, 0.751, 0.751], [0.249, 0.249, 0.249], [0.000, 0.000, 0.000]],
  "volume_a3_per_atom": 17.3,
  "m_tot_mub_per_cell": 0.5,
  "dft_energy_ev_per_atom": -3.84,
  "e_form_ev_per_atom": 0.1367
}

[15]
{
  "formula": "Ba2Sr3Tl2",
  "functional": "PBE",
  "state": "relaxed",
  "lattice_angstrom": [[9.687, -3.063, 0.034], [9.687, 3.063, 0.034], [8.700, 0.000, 5.246]],
  "species": ["Sr", "Sr", "Sr", "Tl", "Tl", "Ba", "Ba"],
  "frac_coords": [[0.362, 0.362, 0.362], [0.638, 0.638, 0.638], [0.500, 0.500, 0.500], [0.760, 0.760, 0.760], [0.240, 0.240, 0.240], [0.102, 0.102, 0.102], [0.898, 0.898, 0.898]],
  "polymorph_energy_mev_per_atom": 17,
  "volume_a3_per_atom": 44.2,
  "m_tot_mub_per_cell": 0.2,
  "dft_energy_ev_per_atom": -2.17,
  "e_form_ev_per_atom": -0.2267
}

[16]
{
  "formula": "Dy2HoHgO",
  "functional": "PBE",
  "state": "relaxed",
  "lattice_angstrom": [[-4.255, 0.060, -2.082], [-1.121, -4.084, 2.173], [-1.768, 2.444, 3.682]],
  "species": ["Dy", "Dy", "Hg", "Ho", "O"],
  "frac_coords": [[0.000, 0.000, 0.500], [0.000, 0.500, 0.000], [0.500, 0.500, 0.500], [0.500, 0.000, 0.000], [0.000, 0.000, 0.000]],
  "volume_a3_per_atom": 21.5,
  "m_tot_mub_per_cell": 0.0,
  "dft_energy_ev_per_atom": -5.20,
  "e_form_raw_mev_per_atom": -1392
}

[17]
{
  "formula": "Li3Ac2Pd5",
  "functional": "PBE",
  "state": "relaxed",
  "lattice_angstrom": [[5.912, 0.000, 0.000], [2.956, 8.265, 0.150], [2.956, 1.423, 8.143]],
  "species": ["Pd", "Pd", "Pd", "Pd", "Pd", "Pd", "Pd", "Pd", "Pd", "Pd", "Li", "Li", "Li", "Li", "Li", "Li", "Ac", "Ac", "Ac", "Ac"],
  "frac_coords": [[0.250, 0.500, 0.500], [0.107, 0.079, 0.707], [0.046, 0.204, 0.204], [0.750, 0.500, 0.500], [0.954, 0.796, 0.796], [0.893, 0.921, 0.293], [0.607, 0.707, 0.079], [0.454, 0.796, 0.796], [0.546, 0.204, 0.204], [0.393, 0.293, 0.921], [0.853, 0.724, 0.569], [0.647, 0.431, 0.276], [0.147, 0.276, 0.431], [0.353, 0.569, 0.724], [0.750, 0.000, 0.000], [0.250, 0.000, 0.000], [0.869, 0.397, 0.865], [0.631, 0.135, 0.603], [0.369, 0.865, 0.397], [0.131, 0.603, 0.135]],
  "volume_a3_per_atom": 19.8,
  "m_tot_mub_per_cell": 0.0,
  "dft_energy_ev_per_atom": -4.58,
  "e_form_ev_per_atom": -0.5914
}

[18]
{
  "formula": "CdGeBr2",
  "functional": "PBE",
  "state": "relaxed",
  "lattice_angstrom": [[2.298, 0.000, 10.897], [-1.149, 1.990, 10.897], [-1.149, -1.990, 10.897]],
  "species": ["Ge", "Br", "Br", "Cd"],
  "frac_coords": [[0.500, 0.500, 0.500], [0.116, 0.116, 0.116], [0.884, 0.884, 0.884], [0.000, 0.000, 0.000]],
  "polymorph_energy_mev_per_atom": 0,
  "volume_a3_per_atom": 37.4,
  "m_tot_mub_per_cell": 0.0,
  "dft_energy_ev_per_atom": -2.49,
  "e_form_raw_mev_per_atom": -272
}

[19]
{
  "formula": "Cr2NiPt6",
  "functional": "PBE",
  "state": "relaxed",
  "lattice_angstrom": [[0.000, 5.767, 5.830], [1.915, 0.000, 5.830], [1.915, 5.767, 0.000]],
  "species": ["Cr", "Cr", "Pt", "Pt", "Pt", "Pt", "Pt", "Pt", "Ni"],
  "frac_coords": [[0.677, 0.677, 0.323], [0.323, 0.323, 0.677], [0.989, 0.679, 0.321], [0.344, 0.656, 0.344], [0.656, 0.344, 0.656], [0.321, 0.011, 0.989], [0.679, 0.989, 0.011], [0.011, 0.321, 0.679], [0.000, 0.000, 0.000]],
  "volume_a3_per_atom": 14.3,
  "m_tot_mub_per_cell": 0.5,
  "dft_energy_ev_per_atom": -7.00,
  "e_form_ev_per_atom": -0.1958
}

[20]
{
  "formula": "Sr2Pd12Pb7",
  "functional": "PBE",
  "state": "relaxed",
  "lattice_angstrom": [[4.755, 0.000, 0.000], [0.000, 9.165, -5.292], [0.000, 0.000, 10.583]],
  "species": ["Pb", "Pb", "Pb", "Pb", "Pb", "Pb", "Pb", "Pd", "Pd", "Pd", "Pd", "Pd", "Pd", "Pd", "Pd", "Pd", "Pd", "Pd", "Pd", "Sr", "Sr"],
  "frac_coords": [[0.327, 0.897, 0.289], [0.673, 0.289, 0.393], [0.673, 0.607, 0.897], [0.327, 0.393, 0.103], [0.500, 0.000, 0.000], [0.327, 0.711, 0.607], [0.673, 0.103, 0.711], [0.188, 0.941, 0.562], [0.830, 0.874, 0.131], [0.812, 0.379, 0.941], [0.812, 0.059, 0.438], [0.188, 0.621, 0.059], [0.170, 0.126, 0.869], [0.812, 0.562, 0.621], [0.188, 0.438, 0.379], [0.830, 0.869, 0.742], [0.170, 0.131, 0.258], [0.170, 0.742, 0.874], [0.830, 0.258, 0.126], [0.801, 0.667, 0.333], [0.199, 0.333, 0.667]],
  "volume_a3_per_atom": 22.0,
  "m_tot_mub_per_cell": 0.0,
  "dft_energy_ev_per_atom": -4.69,
  "e_form_ev_per_atom": -0.3237
}

[21]
{
  "formula": "LaYSi",
  "functional": "PBE",
  "state": "relaxed",
  "lattice_angstrom": [[4.750, 0.000, 0.000], [-2.375, 4.114, 0.000], [0.000, 0.000, 4.354]],
  "species": ["Si", "La", "Y"],
  "frac_coords": [[0.667, 0.333, 0.413], [0.000, 0.000, 0.029], [0.333, 0.667, 0.558]],
  "polymorph_energy_mev_per_atom": 164,
  "volume_a3_per_atom": 28.4,
  "m_tot_mub_per_cell": 0.0,
  "dft_energy_ev_per_atom": -5.95,
  "e_form_raw_mev_per_atom": -350
}

[22]
{
  "formula": "ZrRh",
  "functional": "PBE",
  "state": "relaxed",
  "lattice_angstrom": [[2.301, -3.986, 0.000], [2.301, 3.986, 0.000], [0.000, 0.000, 8.133]],
  "species": ["Rh", "Rh", "Rh", "Rh", "Zr", "Zr", "Zr", "Zr"],
  "frac_coords": [[0.333, 0.667, 0.750], [0.000, 0.000, 0.750], [0.667, 0.333, 0.250], [0.000, 0.000, 0.250], [0.667, 0.333, 0.917], [0.333, 0.667, 0.083], [0.333, 0.667, 0.417], [0.667, 0.333, 0.583]],
  "volume_a3_per_atom": 18.7,
  "m_tot_mub_per_cell": 0.0,
  "dft_energy_ev_per_atom": -8.18,
  "e_form_ev_per_atom": -0.2290
}

[23]
{
  "formula": "CsLa2MnI8",
  "functional": "PBE",
  "state": "relaxed",
  "lattice_angstrom": [[-2.805, -7.230, -0.950], [6.780, -3.134, -0.538], [0.160, -1.338, 9.622]],
  "species": ["I", "I", "I", "I", "I", "I", "I", "I", "La", "La", "Cs", "Mn"],
  "frac_coords": [[0.837, 0.238, 0.801], [0.676, 0.748, 0.000], [0.163, 0.762, 0.199], [0.836, 0.237, 0.199], [0.621, 0.716, 0.500], [0.379, 0.284, 0.500], [0.324, 0.252, 0.000], [0.164, 0.763, 0.801], [0.500, 0.500, 0.778], [0.500, 0.500, 0.222], [0.000, 0.000, 0.500], [0.000, 0.000, 0.000]],
  "volume_a3_per_atom": 47.3,
  "m_tot_mub_per_cell": 3.7,
  "dft_energy_ev_per_atom": -3.84,
  "e_form_raw_mev_per_atom": -1151
}

[24]
{
  "formula": "In2Pd12Pt5",
  "functional": "PBE",
  "state": "relaxed",
  "lattice_angstrom": [[-8.015, -0.757, -1.609], [5.243, -3.779, -3.394], [-0.290, -5.203, 3.895]],
  "species": ["Pt", "Pt", "Pt", "Pt", "Pt", "Pd", "Pd", "Pd", "Pd", "Pd", "Pd", "Pd", "Pd", "Pd", "Pd", "Pd", "Pd", "In", "In"],
  "frac_coords": [[0.348, 0.695, 0.115], [0.652, 0.305, 0.885], [0.000, 0.000, 0.500], [0.779, 0.558, 0.520], [0.221, 0.442, 0.480], [0.617, 0.788, 0.428], [0.449, 0.898, 0.716], [0.881, 0.762, 0.880], [0.077, 0.519, 0.815], [0.119, 0.238, 0.120], [0.171, 0.788, 0.428], [0.923, 0.481, 0.185], [0.558, 0.481, 0.185], [0.829, 0.212, 0.572], [0.383, 0.212, 0.572], [0.442, 0.519, 0.815], [0.551, 0.102, 0.284], [0.250, 0.000, 0.000], [0.750, 0.000, 0.000]],
  "volume_a3_per_atom": 16.8,
  "m_tot_mub_per_cell": 0.0,
  "dft_energy_ev_per_atom": -5.21,
  "e_form_ev_per_atom": -0.0555
}